[1]
Here is a geometry-optimized Al2Au structure from the Alexandria database. Energies are from PBE.

Cell lengths 4.9452, 4.9452, 7.5192 Å; angles 118.84, 118.84, 43.62 degrees
Positions (direct):
Al 0.0908 0.0908 0.3790
Al 0.3470 0.3470 0.9573
Al 0.6530 0.6530 0.0427
Al 0.9092 0.9092 0.6210
Au 0.3397 0.3397 0.3056
Au 0.6603 0.6603 0.6944

M_tot   0.00 μB/cell
Calculated formation energy   -0.27 eV per atom

[2]
Here is a geometry-optimized AlAu4 structure from the Alexandria database. Energies are from PBE.

Cell lengths 7.0452, 7.0452, 7.0452 Å; angles 90.00, 90.00, 90.00 degrees
Positions (direct):
Al 0.0636 0.0636 0.0636
Al 0.4364 0.9364 0.5636
Al 0.5636 0.4364 0.9364
Al 0.9364 0.5636 0.4364
Au 0.0509 0.8854 0.7147
Au 0.1146 0.2147 0.4491
Au 0.1822 0.8178 0.3178
Au 0.2147 0.4491 0.1146
Au 0.2853 0.5509 0.6146
Au 0.3178 0.1822 0.8178
Au 0.3854 0.7853 0.9491
Au 0.4491 0.1146 0.2147
Au 0.5509 0.6146 0.2853
Au 0.6146 0.2853 0.5509
Au 0.6822 0.6822 0.6822
Au 0.7147 0.0509 0.8854
Au 0.7853 0.9491 0.3854
Au 0.8178 0.3178 0.1822
Au 0.8854 0.7147 0.0509
Au 0.9491 0.3854 0.7853

M_tot   0.00 μB/cell
Calculated formation energy   -0.21 eV per atom

no.,DOS(E_F) (states/eV per atom)
1,0.31
2,0.29